(1)
Here is a relaxed Tb3Pm2Er8 crystal from the Alexandria database. Energies are from PBE.

Cell: 5.525 7.584 10.956 Å, 110.28 90.00 90.00°
Sites, in units of the cell vectors:
1 Tb 0.000 0.712 0.000
2 Er 0.500 0.395 0.215
3 Er 0.000 0.871 0.741
4 Tb 0.500 0.000 0.000
5 Pm 0.500 0.760 0.519
6 Er 0.000 0.337 0.675
7 Tb 0.000 0.288 0.000
8 Er 0.500 0.605 0.785
9 Er 0.500 0.821 0.215
10 Er 0.500 0.179 0.785
11 Er 0.000 0.129 0.259
12 Pm 0.500 0.240 0.481
13 Er 0.000 0.663 0.325

Calculated volume, Å³/cell: 430.6
E_tot, eV per cell: -56.7
Symmetry: P2/m

(2)
Here is a relaxed DyAlRh crystal from the Alexandria database. Energies are from PBE.

Cell: 4.147 6.980 11.966 Å, 89.14 90.00 90.00°
Sites, in units of the cell vectors:
1 Al 0.250 0.996 0.083
2 Rh 0.750 0.263 0.751
3 Al 0.750 0.004 0.917
4 Rh 0.250 0.232 0.423
5 Rh 0.250 0.737 0.249
6 Dy 0.750 0.530 0.375
7 Dy 0.250 0.470 0.625
8 Dy 0.250 0.965 0.712
9 Dy 0.250 0.346 0.918
10 Al 0.250 0.361 0.200
11 Al 0.750 0.140 0.542
12 Rh 0.250 0.769 0.911
13 Al 0.750 0.639 0.800
14 Rh 0.750 0.768 0.577
15 Dy 0.750 0.654 0.082
16 Dy 0.750 0.035 0.288
17 Rh 0.750 0.231 0.089
18 Al 0.250 0.860 0.458

Calculated volume, Å³/cell: 346.3
E_tot, eV per cell: -110.5
Symmetry: P2_1/m

(3)
Here is a relaxed SmY3Tl4S8 crystal from the Alexandria database. Energies are from PBE.

Cell: 8.118 8.859 8.119 Å, 117.29 120.00 90.00°
Sites, in units of the cell vectors:
1 Tl 0.000 0.000 0.500
2 S 0.271 0.300 0.036
3 S 0.267 0.302 0.535
4 S 0.236 0.700 0.471
5 S 0.729 0.700 0.964
6 Tl 0.000 0.000 0.000
7 Tl 0.500 0.000 0.000
8 S 0.236 0.700 0.964
9 Y 0.000 0.500 0.500
10 Tl 0.500 0.000 0.500
11 Y 0.500 0.500 0.000
12 Y 0.500 0.500 0.500
13 S 0.733 0.698 0.465
14 S 0.764 0.300 0.036
15 Sm 0.000 0.500 0.000
16 S 0.764 0.300 0.529

Calculated volume, Å³/cell: 429.0
Symmetry: R-3m
Formation energy (no corrections), eV per atom: -1.486

(4)
Here is a relaxed LiLaAsH crystal from the Alexandria database. Energies are from PBE.

Cell: 4.165 4.165 8.085 Å, 90.00 90.00 90.00°
Sites, in units of the cell vectors:
1 La 0.000 0.500 0.842
2 Li 0.000 0.000 0.500
3 Li 0.500 0.500 0.500
4 H 0.000 0.000 0.000
5 La 0.500 0.000 0.158
6 As 0.000 0.500 0.299
7 As 0.500 0.000 0.701
8 H 0.500 0.500 0.000

Calculated volume, Å³/cell: 140.2
E_tot, eV per cell: -37.7
Symmetry: P4/nmm

(5)
Here is a relaxed Er3PuHg12 crystal from the Alexandria database. Energies are from PBE.

Cell: 4.473 4.741 18.495 Å, 90.00 90.00 90.00°
Sites, in units of the cell vectors:
1 Hg 0.500 0.000 0.623
2 Hg 0.500 0.500 0.745
3 Hg 0.500 0.000 0.131
4 Hg 0.000 0.500 0.871
5 Er 0.000 0.000 0.500
6 Hg 0.000 0.500 0.623
7 Hg 0.500 0.500 0.500
8 Hg 0.500 0.500 0.000
9 Hg 0.000 0.500 0.129
10 Hg 0.500 0.000 0.377
11 Er 0.000 0.000 0.254
12 Hg 0.500 0.500 0.255
13 Hg 0.000 0.500 0.377
14 Er 0.000 0.000 0.746
15 Pu 0.000 0.000 0.000
16 Hg 0.500 0.000 0.869

Calculated volume, Å³/cell: 392.2
E_tot, eV per cell: -35.4
Symmetry: Pmmm

(6)
Here is a relaxed TcRhBr2 crystal from the Alexandria database. Energies are from PBE.

Cell: 4.309 3.198 5.453 Å, 94.67 90.00 90.00°
Sites, in units of the cell vectors:
1 Rh 0.500 0.250 0.250
2 Br 0.000 0.980 0.998
3 Br 0.000 0.520 0.502
4 Tc 0.500 0.750 0.750

Calculated volume, Å³/cell: 74.9
Relative energy among the computed polymorphs, eV per atom: 0.713
Symmetry: P2/m
Formation energy (no corrections), eV per atom: 0.833

(7)
Here is a relaxed Li3Ac12Sc5 crystal from the Alexandria database. Energies are from PBE.

Cell: 16.633 16.633 16.633 Å, 109.47 109.47 109.47°
Sites, in units of the cell vectors:
1 Li 0.375 0.625 0.250
2 Ac 0.274 0.876 0.939
3 Sc 0.875 0.250 0.625
4 Ac 0.602 0.876 0.437
5 Li 0.750 0.875 0.625
6 Ac 0.335 0.561 0.437
7 Ac 0.602 0.726 0.665
8 Ac 0.876 0.602 0.937
9 Ac 0.439 0.665 0.063
10 Li 0.375 0.750 0.625
11 Ac 0.061 0.437 0.835
12 Sc 0.250 0.375 0.625
13 Sc 0.500 0.000 0.000
14 Li 0.250 0.625 0.875
15 Ac 0.561 0.226 0.124
16 Ac 0.665 0.226 0.602
17 Ac 0.624 0.061 0.226
18 Ac 0.124 0.726 0.561
19 Ac 0.939 0.563 0.165
20 Li 0.875 0.125 0.250
21 Ac 0.063 0.898 0.124
22 Ac 0.624 0.563 0.898
23 Sc 0.250 0.875 0.125
24 Ac 0.876 0.274 0.439
25 Ac 0.165 0.063 0.939
26 Sc 0.375 0.125 0.750
27 Ac 0.726 0.124 0.061
28 Ac 0.561 0.335 0.937
29 Li 0.625 0.250 0.375
30 Li 0.125 0.250 0.875
31 Sc 0.500 0.500 0.000
32 Sc 0.375 0.250 0.125
33 Sc 0.500 0.500 0.500
34 Ac 0.335 0.774 0.398
35 Ac 0.165 0.102 0.726
36 Ac 0.939 0.376 0.274
37 Li 0.125 0.875 0.750
38 Ac 0.102 0.937 0.376
39 Sc 0.125 0.375 0.250
40 Ac 0.398 0.124 0.563
41 Ac 0.437 0.376 0.602
42 Sc 0.125 0.750 0.375
43 Sc 0.500 0.000 0.500
44 Ac 0.376 0.437 0.102
45 Ac 0.563 0.939 0.665
46 Ac 0.061 0.624 0.726
47 Sc 0.875 0.625 0.750
48 Ac 0.063 0.165 0.439
49 Ac 0.898 0.063 0.624
50 Ac 0.398 0.274 0.335
51 Ac 0.563 0.624 0.398
52 Li 0.250 0.125 0.375
53 Sc 0.750 0.625 0.375
54 Li 0.875 0.750 0.125
55 Ac 0.124 0.398 0.063
56 Ac 0.898 0.835 0.774
57 Ac 0.774 0.439 0.376
58 Li 0.750 0.375 0.125
59 Ac 0.726 0.602 0.165
60 Sc 0.000 0.000 0.000
61 Ac 0.665 0.439 0.563
62 Ac 0.274 0.398 0.835
63 Sc 0.625 0.875 0.250
64 Ac 0.226 0.561 0.624
65 Ac 0.226 0.665 0.102
66 Sc 0.000 0.500 0.000
67 Sc 0.750 0.125 0.875
68 Ac 0.102 0.165 0.226
69 Ac 0.439 0.774 0.876
70 Ac 0.437 0.061 0.335
71 Ac 0.835 0.937 0.061
72 Ac 0.774 0.335 0.898
73 Li 0.625 0.375 0.750
74 Ac 0.835 0.898 0.274
75 Sc 0.625 0.750 0.875
76 Sc 0.000 0.000 0.500
77 Ac 0.937 0.102 0.876
78 Ac 0.937 0.835 0.561
79 Sc 0.000 0.500 0.500
80 Ac 0.376 0.939 0.774

Calculated volume, Å³/cell: 3542.6
E_tot, eV per cell: -276.4
Symmetry: Ia-3d

(8)
Here is a relaxed NaHfTi2Bi crystal from the Alexandria database. Energies are from PBE.

Cell: 5.191 5.111 5.191 Å, 90.00 90.00 90.00°
Sites, in units of the cell vectors:
1 Hf 0.500 0.500 0.500
2 Na 0.000 0.500 0.000
3 Ti 0.500 0.000 0.000
4 Ti 0.000 0.000 0.500
5 Bi 0.000 0.000 0.000

Calculated volume, Å³/cell: 137.7
E_tot, eV per cell: -25.1
Symmetry: P4/mmm

Question: Which formula does entry 6 have?
Answer: TcRhBr2

Question: Look up the calculated volume of the eighth one.
Answer: 137.7 Å³/cell

Question: The lowest calculated volume belongs to which entry?
Answer: TcRhBr2